(1)
Density functional theory data (GGA-PBE) for Ce3As3O2 after structural relaxation.

Results
* crystal system: orthorhombic
* calculated total energy: -113.755 eV for the cell shown

Cell lengths 3.9549, 6.4823, 13.3843 Å; angles 90.00, 90.00, 107.76 degrees
Element x y z (fractional)
As (0.3568, 0.7135, 0.7500)
As (0.9607, 0.9215, 0.3795)
As (0.0393, 0.0785, 0.6205)
As (0.0393, 0.0785, 0.8795)
As (0.6432, 0.2865, 0.2500)
As (0.9607, 0.9215, 0.1205)
O (0.7631, 0.5263, 0.5780)
O (0.2369, 0.4737, 0.0780)
O (0.7631, 0.5263, 0.9220)
O (0.2369, 0.4737, 0.4220)
Ce (0.3596, 0.7193, 0.5453)
Ce (0.6404, 0.2807, 0.4547)
Ce (0.3596, 0.7193, 0.9547)
Ce (0.3212, 0.6424, 0.2500)
Ce (0.6788, 0.3576, 0.7500)
Ce (0.6404, 0.2807, 0.0453)

(2)
Density functional theory data (GGA-PBE) for La3BiB after structural relaxation.

Results
* crystal system: cubic
* formation enthalpy at 0 K: -0.41 eV/atom
* energy above the lowest structure with this stoichiometry: 0 meV/atom
* calculated total energy: -27.376 eV for the cell shown

Cell lengths 5.3366, 5.3366, 5.3366 Å; angles 90.00, 90.00, 90.00 degrees
Element x y z (fractional)
B (0.0000, 0.0000, 0.0000)
La (0.5000, 0.0000, 0.0000)
La (0.0000, 0.5000, 0.0000)
La (0.0000, 0.0000, 0.5000)
Bi (0.5000, 0.5000, 0.5000)

(3)
Density functional theory data (GGA-PBE) for LaDyMg2 after structural relaxation.

Results
* crystal system: trigonal
* formation enthalpy at 0 K: 0.05 eV/atom
* energy above the lowest structure with this stoichiometry: 151 meV/atom
* calculated total energy: -12.519 eV for the cell shown

Cell lengths 3.4691, 3.4691, 11.5215 Å; angles 81.34, 81.34, 60.00 degrees
Element x y z (fractional)
Mg (0.2470, 0.2470, 0.2589)
Mg (0.0862, 0.0862, 0.7414)
Dy (0.4990, 0.4990, 0.5029)
La (0.6677, 0.6677, 0.9968)

(4)
Density functional theory data (GGA-PBE) for ThCuAs3 after structural relaxation.

Results
* crystal system: orthorhombic
* formation enthalpy at 0 K: -0.52 eV/atom
* calculated total energy: -112.314 eV for the cell shown

Cell lengths 5.7233, 5.8066, 12.3996 Å; angles 90.00, 90.00, 90.00 degrees
Element x y z (fractional)
Cu (0.0000, 0.7500, 0.9113)
Cu (0.0000, 0.2500, 0.0887)
Cu (0.5000, 0.2500, 0.0887)
Cu (0.5000, 0.7500, 0.9113)
As (0.0000, 0.2500, 0.4998)
As (0.0000, 0.7500, 0.5002)
As (0.7500, 0.3868, 0.9354)
As (0.7500, 0.9959, 0.7659)
As (0.2500, 0.0041, 0.2341)
As (0.5000, 0.2500, 0.4998)
As (0.5000, 0.7500, 0.5002)
As (0.7500, 0.8868, 0.0646)
As (0.2500, 0.5041, 0.7659)
As (0.2500, 0.6132, 0.0646)
As (0.2500, 0.1132, 0.9354)
As (0.7500, 0.4959, 0.2341)
Th (0.7500, 0.4971, 0.6906)
Th (0.2500, 0.0029, 0.6906)
Th (0.7500, 0.9971, 0.3094)
Th (0.2500, 0.5029, 0.3094)

(5)
Density functional theory data (GGA-PBE) for AlGa3Hg after structural relaxation.

Results
* crystal system: cubic
* formation enthalpy at 0 K: 0.29 eV/atom
* energy above the lowest structure with this stoichiometry: 0 meV/atom
* calculated total energy: -11.677 eV for the cell shown

Cell lengths 5.0185, 5.0185, 5.0185 Å; angles 90.00, 90.00, 90.00 degrees
Element x y z (fractional)
Ga (0.5000, 0.0000, 0.0000)
Ga (0.0000, 0.5000, 0.0000)
Ga (0.0000, 0.0000, 0.5000)
Al (0.0000, 0.0000, 0.0000)
Hg (0.5000, 0.5000, 0.5000)

(6)
Density functional theory data (GGA-PBE) for Cr4MoSe2 after structural relaxation.

Results
* crystal system: tetragonal
* calculated total energy: -50.123 eV for the cell shown

Cell lengths 4.6738, 4.6738, 7.4578 Å; angles 71.74, 71.74, 90.00 degrees
Last column: magnetic moment on the atom in μB.
Element x y z (fractional)
Cr (0.1881, 0.1881, 0.6238)  3.82
Cr (0.0000, 0.5000, 0.0000)  2.87
Cr (0.8119, 0.8119, 0.3762)  3.82
Cr (0.5000, 0.0000, 0.0000)  2.87
Se (0.3786, 0.3786, 0.2428)  -0.09
Se (0.6214, 0.6214, 0.7572)  -0.09
Mo (0.0000, 0.0000, 0.0000)  -1.30

(7)
Density functional theory data (GGA-PBE) for IrOsW2 after structural relaxation.

Results
* crystal system: tetragonal
* formation enthalpy at 0 K: 0.20 eV/atom
* energy above the lowest structure with this stoichiometry: 321 meV/atom
* calculated total energy: -45.194 eV for the cell shown

Cell lengths 3.2861, 3.2861, 5.8006 Å; angles 90.00, 90.00, 90.00 degrees
Element x y z (fractional)
W (0.0000, 0.0000, 0.9861)
W (0.5000, 0.5000, 0.2719)
Os (0.5000, 0.5000, 0.7629)
Ir (0.0000, 0.0000, 0.4790)

(8)
Density functional theory data (GGA-PBE) for DyThSnPb after structural relaxation.

Results
* crystal system: cubic
* formation enthalpy at 0 K: -0.36 eV/atom
* calculated total energy: -21.157 eV for the cell shown

Cell lengths 5.4666, 5.4666, 5.4666 Å; angles 60.00, 60.00, 60.00 degrees
Element x y z (fractional)
Pb (0.2500, 0.2500, 0.2500)
Dy (0.5000, 0.5000, 0.5000)
Th (0.0000, 0.0000, 0.0000)
Sn (0.7500, 0.7500, 0.7500)

(9)
Density functional theory data (GGA-PBE) for Th3MgN4 after structural relaxation.

Results
* crystal system: cubic
* calculated total energy: -67.804 eV for the cell shown

Cell lengths 5.0752, 5.0752, 5.0752 Å; angles 90.00, 90.00, 90.00 degrees
Element x y z (fractional)
N (0.0000, 0.0000, 0.5000)
N (0.5000, 0.0000, 0.0000)
N (0.0000, 0.5000, 0.0000)
N (0.5000, 0.5000, 0.5000)
Mg (0.0000, 0.0000, 0.0000)
Th (0.5000, 0.5000, 0.0000)
Th (0.5000, 0.0000, 0.5000)
Th (0.0000, 0.5000, 0.5000)

(10)
Density functional theory data (GGA-PBE) for LuMgInPd after structural relaxation.

Results
* crystal system: cubic
* formation enthalpy at 0 K: -0.54 eV/atom
* calculated total energy: -16.222 eV for the cell shown

Cell lengths 4.8949, 4.8949, 4.8949 Å; angles 60.00, 60.00, 60.00 degrees
Element x y z (fractional)
Lu (0.2500, 0.2500, 0.2500)
In (0.5000, 0.5000, 0.5000)
Pd (0.0000, 0.0000, 0.0000)
Mg (0.7500, 0.7500, 0.7500)

(11)
Density functional theory data (GGA-PBE) for Fe2PRu after structural relaxation.

Results
* crystal system: orthorhombic
* formation enthalpy at 0 K: 0.00 eV/atom
* calculated total energy: -31.597 eV for the cell shown

Cell lengths 4.4325, 4.4325, 2.7555 Å; angles 90.00, 90.00, 115.22 degrees
Last column: magnetic moment on the atom in μB.
Element x y z (fractional)
Fe (0.0000, 0.0000, 0.0000)  2.09
Fe (0.5000, 0.5000, 0.0000)  2.09
Ru (0.0000, 0.5000, 0.5000)  0.10
P (0.5000, 0.0000, 0.5000)  -0.04

(12)
Density functional theory data (GGA-PBE) for CaTiV2 after structural relaxation.

Results
* crystal system: cubic
* formation enthalpy at 0 K: 0.77 eV/atom
* energy above the lowest structure with this stoichiometry: 0 meV/atom
* calculated total energy: -25.051 eV for the cell shown

Cell lengths 4.7964, 4.7964, 4.7964 Å; angles 60.00, 60.00, 60.00 degrees
Last column: magnetic moment on the atom in μB.
Element x y z (fractional)
V (0.2500, 0.2500, 0.2500)  2.14
V (0.7500, 0.7500, 0.7500)  2.14
Ti (0.5000, 0.5000, 0.5000)  0.47
Ca (0.0000, 0.0000, 0.0000)  0.12

- Look up the calculated total energy of the twelfth one.
  -25.051 eV for the cell shown